# VCdOF2 GGA+U optimized geometry
data_VCdOF2
_cell_length_a 4.179
_cell_length_b 4.179
_cell_length_c 3.856
_cell_angle_alpha 90.00
_cell_angle_beta 90.00
_cell_angle_gamma 90.00
_symmetry_space_group_name_H-M 'P 4/m m m'
_symmetry_Int_Tables_number 123
_symmetry_space_group_name_Hall '-P 4 2'
loop_
_atom_site_label
_atom_site_type_symbol
_atom_site_fract_x
_atom_site_fract_y
_atom_site_fract_z
_atom_site_occupancy
V1 V 0.000 0.000 0.000 1
Cd1 Cd 0.500 0.500 0.500 1
O1 O 0.000 0.000 0.500 1
F1 F 0.000 0.500 0.000 1
# ΔE to the lowest computed polymorph ... 0 meV/atom
# M_tot ... 2.4 μB per formula unit